Mo3W: relaxed, PBE-GGA.

Cell and atoms, written as POSCAR:
```
Mo3W
1.0
9.2285 0.0000 0.0000
0.0000 2.6340 0.0000
-0.0225 0.0000 5.3570
Mo W
6 2
direct
0.0000 0.0000 0.0000
0.2485 0.0000 0.2497
0.2515 0.5000 0.7503
0.5000 0.5000 0.0000
0.7485 0.5000 0.2497
0.7515 0.0000 0.7503
0.0000 0.5000 0.5000
0.5000 0.0000 0.5000
```

Summary:
The density comes out at 12.029 g/cm3. The space group is C2/m. Its formation energy is 324 meV per atom. The size of the total moment is 0.00 μB/f.u.